Compound: KTl2FeF
Source: Alexandria via LeMat-Bulk
Functional: GGA+U
Structure: optimized geometry

Results
Total DFT energy (no corrections) ... -15.30 eV/cell

Cell and atoms, written as CIF:
```
data_KTl2FeF
_chemical_formula_sum 'K1 Tl2 Fe1 F1'
_cell_length_a 5.974
_cell_length_b 5.974
_cell_length_c 4.037
_cell_angle_alpha 90.00
_cell_angle_beta 90.00
_cell_angle_gamma 90.00
_symmetry_space_group_name_H-M 'P 4/m m m'
_symmetry_Int_Tables_number 123
_symmetry_space_group_name_Hall '-P 4 2'
loop_
_atom_site_label
_atom_site_type_symbol
_atom_site_fract_x
_atom_site_fract_y
_atom_site_fract_z
K1 K 0.000 0.000 0.000
Tl1 Tl 0.000 0.500 0.500
Fe1 Fe 0.500 0.500 0.500
F1 F 0.500 0.500 0.000
```